Entry from Alexandria via LeMat-Bulk: a relaxed structure of La4AsPb2Se (PBE-GGA).

For the formation energy (no corrections), the calculation gives -1.152 eV per atom.

The structure belongs to space group P2/m (No. 10); the cell edges are 7.612, 4.367 and 8.211 Å and the angles 90.00°, 107.76° and 90.00°. The inequivalent atoms are La at (0.238, 0.000, 0.224), La at (0.254, 0.500, 0.772), As at (0.000, 0.500, 0.000), Pb at (0.000, 0.000, 0.500), Pb at (0.500, 0.500, 0.500) and Se at (0.500, 0.000, 0.000).



Entry from Alexandria via LeMat-Bulk: a relaxed structure of HfVZnMo (PBE-GGA).

The energy relative to the elements is 11.5 meV/atom.

The structure belongs to space group F-43m (No. 216); the cell edges are 6.398, 6.398 and 6.398 Å and the angles 90.00°, 90.00° and 90.00°. The inequivalent atoms are Hf at (0.000, 0.000, 0.000), V at (0.000, 0.000, 0.500), Zn at (0.250, 0.250, 0.750) and Mo at (0.250, 0.250, 0.250).



Entry from Alexandria via LeMat-Bulk: a relaxed structure of Ba2SbP (PBE-GGA).

The calculation puts the distance to the lowest polymorph of the same formula at 23.5 kJ/mol of atoms. For the formation energy (no corrections), the calculation gives -0.640 eV per atom.

The structure belongs to space group Imm2 (No. 44); the cell edges are 4.116, 5.256 and 12.631 Å and the angles 90.00°, 90.00° and 90.00°. The inequivalent atoms are Ba at (0.000, 0.000, 0.000), Ba at (0.000, 0.500, 0.214), Sb at (0.000, 0.500, 0.810) and P at (0.000, 0.000, 0.495).



Entry from Alexandria via LeMat-Bulk: a relaxed structure of NaTaRhSe3 (PBE-GGA).

For the formation energy (no corrections), the calculation gives -0.759 eV per atom.

The structure belongs to space group P2_1/m (No. 11); the cell edges are 7.660, 3.596 and 9.864 Å and the angles 90.00°, 109.03° and 90.00°. The inequivalent atoms are Na at (0.242, 0.250, 0.207), Ta at (0.207, 0.750, 0.673), Rh at (0.412, 0.250, 0.876), Se at (0.069, 0.750, 0.377), Se at (0.229, 0.750, 0.941) and Se at (0.426, 0.250, 0.628).



Entry from Alexandria via LeMat-Bulk: a relaxed structure of Li2TcPbCl (PBE-GGA).

For the formation energy (no corrections), the calculation gives 0.167 eV per atom.

The structure belongs to space group P4/mmm (No. 123); the cell edges are 4.204, 4.204 and 5.991 Å and the angles 90.00°, 90.00° and 90.00°. The inequivalent atoms are Li at (0.000, 0.500, 0.000), Tc at (0.000, 0.000, 0.500), Pb at (0.500, 0.500, 0.500) and Cl at (0.500, 0.500, 0.000).



Entry from Alexandria via LeMat-Bulk: a relaxed structure of Sm6NiRu2Br3 (PBE-GGA).

For the formation energy (no corrections), the calculation gives -0.819 eV per atom.

The structure belongs to space group C2/m (No. 12); the cell edges are 6.958, 12.048 and 8.150 Å and the angles 90.00°, 106.53° and 90.00°. The inequivalent atoms are Sm at (0.230, 0.000, 0.196), Sm at (0.233, 0.332, 0.196), Ni at (0.000, 0.500, 0.000), Ru at (0.000, 0.167, 0.000), Br at (0.000, 0.000, 0.500) and Br at (0.000, 0.332, 0.500).



Entry from Alexandria via LeMat-Bulk: a relaxed structure of YErPu4 (PBE-GGA).

The energy relative to the elements is 228.5 meV/atom.

The structure belongs to space group F-43m (No. 216); the cell edges are 8.720, 8.720 and 8.720 Å and the angles 90.00°, 90.00° and 90.00°. The inequivalent atoms are Y at (0.000, 0.000, 0.000), Er at (0.250, 0.250, 0.750) and Pu at (0.125, 0.125, 0.375).



Entry from Alexandria via LeMat-Bulk: a relaxed structure of Ti2PdPt4 (PBE-GGA).

The energy relative to the elements is -622.8 meV/atom.

The structure belongs to space group P2_1/c (No. 14); the cell edges are 4.945, 6.991 and 6.917 Å and the angles 90.00°, 107.83° and 90.00°. The inequivalent atoms are Ti at (0.121, 0.051, 0.231), Pd at (0.500, 0.000, 0.000), Pt at (0.170, 0.713, 0.057) and Pt at (0.390, 0.151, 0.618).



no.,ρ (g cm⁻³),total energy (eV per atom)
1,7.18,-5.559
2,9.91,-7.783
3,5.19,-3.984
4,7.03,-5.922
5,5.56,-3.783
6,7.11,-5.625
7,12.34,-11.164
8,14.33,-7.072